[1]
# ReO3F (GGA-PBE, optimized geometry)
# Crystal system ... monoclinic
# Calculated total energy ... -7.428 eV/atom
data_ReO3F
_chemical_formula_sum 'Re6 O18 F6'
_symmetry_space_group_name_H-M 'P 1 2/c 1'
_symmetry_Int_Tables_number 13
_cell_length_a 6.6864
_cell_length_b 5.6914
_cell_length_c 9.8401
_cell_angle_alpha 90.00
_cell_angle_beta 90.13
_cell_angle_gamma 90.00
loop_
_symmetry_equiv_pos_as_xyz
'x,y,z'
'-x,-y,-z'
'-x,y,-z+1/2'
'x,-y,z+1/2'
loop_
_atom_site_label
_atom_site_type_symbol
_atom_site_fract_x
_atom_site_fract_y
_atom_site_fract_z
Re1 Re 0.0000 0.0639 0.2500
Re2 Re 0.3340 0.2886 0.6308
O1 O 0.1567 0.2469 0.3372
O2 O 0.1646 0.0245 0.6011
O3 O 0.1817 0.4869 0.0803
O4 O 0.4914 0.2424 0.4969
O5 O 0.5000 0.4669 0.7500
F1 F 0.1673 0.2390 0.8157
F2 F 0.5000 0.0371 0.7500


[2]
# Re2O3F2 (GGA-PBE, optimized geometry)
# Crystal system ... triclinic
# Calculated total energy ... -7.761 eV/atom
data_Re2O3F2
_chemical_formula_sum 'Re4 O6 F4'
_symmetry_space_group_name_H-M 'P -1'
_symmetry_Int_Tables_number 2
_cell_length_a 4.9651
_cell_length_b 5.4658
_cell_length_c 6.8503
_cell_angle_alpha 111.01
_cell_angle_beta 111.22
_cell_angle_gamma 91.10
loop_
_symmetry_equiv_pos_as_xyz
'x,y,z'
'-x,-y,-z'
loop_
_atom_site_label
_atom_site_type_symbol
_atom_site_fract_x
_atom_site_fract_y
_atom_site_fract_z
Re1 Re 0.0832 0.1762 0.1867
Re2 Re 0.4060 0.3030 0.8188
O1 O 0.1617 0.9750 0.7158
O2 O 0.2311 0.8349 0.0982
O3 O 0.3744 0.3445 0.1126
F1 F 0.0227 0.4556 0.6969
F2 F 0.4069 0.2450 0.5003


[3]
# ReOF2 (GGA-PBE, optimized geometry)
# Offset from the most stable computed form ... 433 meV per atom
# Crystal system ... orthorhombic
# Calculated total energy ... -6.580 eV/atom
data_ReOF2
_chemical_formula_sum 'Re12 O12 F24'
_symmetry_space_group_name_H-M 'P b a m'
_symmetry_Int_Tables_number 55
_cell_length_a 12.3565
_cell_length_b 13.0260
_cell_length_c 3.3287
_cell_angle_alpha 90.00
_cell_angle_beta 90.00
_cell_angle_gamma 90.00
loop_
_symmetry_equiv_pos_as_xyz
'x,y,z'
'-x,-y,-z'
'-x,-y,z'
'x,y,-z'
'x+1/2,-y+1/2,-z'
'-x+1/2,y+1/2,z'
'-x+1/2,y+1/2,-z'
'x+1/2,-y+1/2,z'
loop_
_atom_site_label
_atom_site_type_symbol
_atom_site_fract_x
_atom_site_fract_y
_atom_site_fract_z
Re1 Re 0.1144 0.2246 0.0000
Re2 Re 0.1589 0.6321 0.5000
Re3 Re 0.2002 0.9572 0.0000
O1 O 0.2046 0.2210 0.5000
O2 O 0.2187 0.4939 0.5000
O3 O 0.2403 0.6087 0.0000
F1 F 0.0112 0.2379 0.5000
F2 F 0.0521 0.6240 0.0000
F3 F 0.0730 0.0758 0.0000
F4 F 0.1017 0.9399 0.5000
F5 F 0.1488 0.3738 0.0000
F6 F 0.1560 0.8095 0.0000


[4]
# ReOF2 (GGA-PBE, optimized geometry)
# Offset from the most stable computed form ... 0 meV per atom
# Crystal system ... monoclinic
# Calculated total energy ... -7.013 eV/atom
data_ReOF2
_chemical_formula_sum 'Re4 O4 F8'
_symmetry_space_group_name_H-M 'P 1 2 1'
_symmetry_Int_Tables_number 3
_cell_length_a 5.4401
_cell_length_b 3.7142
_cell_length_c 9.9721
_cell_angle_alpha 90.00
_cell_angle_beta 90.34
_cell_angle_gamma 90.00
loop_
_symmetry_equiv_pos_as_xyz
'x,y,z'
'-x,y,-z'
loop_
_atom_site_label
_atom_site_type_symbol
_atom_site_fract_x
_atom_site_fract_y
_atom_site_fract_z
Re1 Re 0.1897 0.0000 0.0481
Re2 Re 0.3103 0.4982 0.4520
O1 O 0.2221 0.4997 0.0495
O2 O 0.2780 0.9987 0.4507
F1 F 0.0731 0.0018 0.2256
F2 F 0.1142 0.4984 0.6162
F3 F 0.3855 0.0000 0.8838
F4 F 0.4267 0.5009 0.2745


[5]
# ReO2F3 (GGA-PBE, optimized geometry)
# Offset from the most stable computed form ... 0 meV per atom
# Crystal system ... orthorhombic
# Calculated total energy ... -6.525 eV/atom
data_ReO2F3
_chemical_formula_sum 'Re16 O32 F48'
_symmetry_space_group_name_H-M 'C m c e'
_symmetry_Int_Tables_number 64
_symmetry_space_group_name_Hall '-C 2ac 2'
_cell_length_a 10.6701
_cell_length_b 9.4642
_cell_length_c 12.8569
_cell_angle_alpha 90.00
_cell_angle_beta 90.00
_cell_angle_gamma 90.00
loop_
_atom_site_label
_atom_site_type_symbol
_atom_site_fract_x
_atom_site_fract_y
_atom_site_fract_z
Re1 Re 0.0000 0.1792 0.1855
Re2 Re 0.2269 0.0000 0.5000
O1 O 0.1241 0.2488 0.2500
O2 O 0.1276 0.0754 0.4127
F1 F 0.0000 0.0009 0.7558
F2 F 0.0000 0.1957 0.5726
F3 F 0.1195 0.0729 0.0831
F4 F 0.2341 0.1597 0.9216


[6]
# ReSbO2F8 (GGA-PBE, optimized geometry)
# Crystal system ... monoclinic
# Calculated total energy ... -5.436 eV/atom
data_ReSbO2F8
_chemical_formula_sum 'Re4 Sb4 O8 F32'
_symmetry_space_group_name_H-M 'P 1 21/c 1'
_symmetry_Int_Tables_number 14
_cell_length_a 5.0496
_cell_length_b 9.3564
_cell_length_c 11.7126
_cell_angle_alpha 90.00
_cell_angle_beta 97.23
_cell_angle_gamma 90.00
loop_
_symmetry_equiv_pos_as_xyz
'x,y,z'
'-x,-y,-z'
'-x,y+1/2,-z+1/2'
'x,-y+1/2,z+1/2'
loop_
_atom_site_label
_atom_site_type_symbol
_atom_site_fract_x
_atom_site_fract_y
_atom_site_fract_z
Re1 Re 0.1485 0.2388 0.2715
Sb1 Sb 0.5000 0.0000 0.0000
Sb2 Sb 0.5000 0.0000 0.5000
O1 O 0.0171 0.5825 0.2527
O2 O 0.0787 0.1718 0.6462
F1 F 0.0827 0.6682 0.6438
F2 F 0.1977 0.5834 0.0500
F3 F 0.1997 0.0794 0.0551
F4 F 0.2914 0.1709 0.4477
F5 F 0.3065 0.6644 0.4496
F6 F 0.4001 0.0885 0.8479
F7 F 0.4108 0.5799 0.8520
F8 F 0.4910 0.1761 0.2567


[7]
# TlRe2O2F6 (GGA-PBE, optimized geometry)
# Crystal system ... monoclinic
# Calculated total energy ... -6.253 eV/atom
data_TlRe2O2F6
_chemical_formula_sum 'Tl2 Re4 O4 F12'
_symmetry_space_group_name_H-M 'C 1 2/m 1'
_symmetry_Int_Tables_number 12
_cell_length_a 9.2457
_cell_length_b 3.7494
_cell_length_c 8.7907
_cell_angle_alpha 90.00
_cell_angle_beta 111.60
_cell_angle_gamma 90.00
loop_
_symmetry_equiv_pos_as_xyz
'x,y,z'
'-x,-y,-z'
'-x,y,-z'
'x,-y,z'
'x+1/2,y+1/2,z'
'-x+1/2,-y+1/2,-z'
'-x+1/2,y+1/2,-z'
'x+1/2,-y+1/2,z'
loop_
_atom_site_label
_atom_site_type_symbol
_atom_site_fract_x
_atom_site_fract_y
_atom_site_fract_z
Tl1 Tl 0.0000 0.0000 0.0000
Re1 Re 0.0097 0.5000 0.6481
O1 O 0.0105 0.0000 0.6524
F1 F 0.1384 0.5000 0.2430
F2 F 0.1752 0.5000 0.8625
F3 F 0.1863 0.5000 0.5605


[8]
# Re4Xe3O10F14 (GGA-PBE, optimized geometry)
# Crystal system ... triclinic
# Calculated total energy ... -5.433 eV/atom
data_Re4Xe3O10F14
_chemical_formula_sum 'Re4 Xe3 O10 F14'
_symmetry_space_group_name_H-M 'P -1'
_symmetry_Int_Tables_number 2
_cell_length_a 7.4373
_cell_length_b 7.7744
_cell_length_c 9.6964
_cell_angle_alpha 89.28
_cell_angle_beta 69.62
_cell_angle_gamma 62.13
loop_
_symmetry_equiv_pos_as_xyz
'x,y,z'
'-x,-y,-z'
loop_
_atom_site_label
_atom_site_type_symbol
_atom_site_fract_x
_atom_site_fract_y
_atom_site_fract_z
Re1 Re 0.0251 0.4898 0.2570
Re2 Re 0.4278 0.8207 0.2084
Xe1 Xe 0.0000 0.0000 0.0000
Xe2 Xe 0.3517 0.8246 0.6310
O1 O 0.0956 0.3090 0.1172
O2 O 0.1516 0.9869 0.2675
O3 O 0.2286 0.3741 0.3223
O4 O 0.2768 0.7413 0.8335
O5 O 0.4836 0.7035 0.0390
F1 F 0.1337 0.2580 0.6092
F2 F 0.1408 0.6262 0.1260
F3 F 0.1897 0.5533 0.5989
F4 F 0.2490 0.3453 0.8158
F5 F 0.3964 0.6304 0.3207
F6 F 0.4273 0.9259 0.4012
F7 F 0.4729 0.0010 0.8642